This record from the Alexandria database describes CePmOsRu after structural relaxation. The functional is PBE-GGA.

Unit cell a=6.960 b=6.960 c=6.960 alpha=90.00 beta=90.00 gamma=90.00
Space group F-43m (No. 216)
Unique sites:
Ce (0.000, 0.000, 0.000) (multiplicity 4)
Pm (0.000, 0.000, 0.500) (multiplicity 4)
Os (0.250, 0.250, 0.750) (multiplicity 4)
Ru (0.250, 0.250, 0.250) (multiplicity 4)

## Properties
Density of states at the Fermi level in states/eV per cell: 16.7
Crystal system: cubic
Formation energy in eV per formula unit: -0.41